# Ta5TiGa6

A geometry-optimized Ta5TiGa6 structure (PBE-GGA, Alexandria via LeMat-Bulk).

Structure (CIF):
```
data_Ta5TiGa6
_space_group_name_H-M_alt 'C m m m'
_space_group_IT_number 65
_space_group_name_Hall '-C 2 2'
_cell_length_a 4.105
_cell_length_b 11.720
_cell_length_c 8.223
_cell_angle_alpha 90.00
_cell_angle_beta 90.00
_cell_angle_gamma 90.00
loop_
_atom_site_label
_atom_site_fract_x
_atom_site_fract_y
_atom_site_fract_z
Ta1 0.000 0.000 0.000
Ta2 0.000 0.333 0.000
Ta3 0.000 0.333 0.500
Ti1 0.000 0.000 0.500
Ga1 0.000 0.166 0.251
Ga2 0.000 0.500 0.253
```

- theoretical density (kg/m³) = 11508
- N(E_F) (states/eV per atom) = 0.560
- calculated formation energy (meV per atom) = -175.5
- uncorrected energy (eV/atom) = -7.285

---

# Ti2MnN2

A geometry-optimized Ti2MnN2 structure (PBE-GGA, Alexandria via LeMat-Bulk).

Structure (CIF):
```
data_Ti2MnN2
_space_group_name_H-M_alt 'P 4/m b m'
_space_group_IT_number 127
_space_group_name_Hall '-P 4 2ab'
_cell_length_a 5.705
_cell_length_b 5.705
_cell_length_c 2.917
_cell_angle_alpha 90.00
_cell_angle_beta 90.00
_cell_angle_gamma 90.00
loop_
_atom_site_label
_atom_site_fract_x
_atom_site_fract_y
_atom_site_fract_z
Ti1 0.156 0.344 0.000
Mn1 0.000 0.000 0.500
N1 0.160 0.660 0.500
```

- theoretical density (kg/m³) = 6252
- N(E_F) (states/eV per atom) = 0.354
- uncorrected energy (eV/atom) = -9.231
- formation energy (no corrections) (eV/atom) = -0.909
- energy above the lowest structure with this stoichiometry (meV/atom) = 0

---

# Dy3Er2Al2

A geometry-optimized Dy3Er2Al2 structure (PBE-GGA, Alexandria via LeMat-Bulk).

Structure (CIF):
```
data_Dy3Er2Al2
_space_group_name_H-M_alt 'P -1'
_space_group_IT_number 2
_cell_length_a 3.356
_cell_length_b 4.609
_cell_length_c 12.166
_cell_angle_alpha 79.08
_cell_angle_beta 89.97
_cell_angle_gamma 90.00
loop_
_space_group_symop_operation_xyz
'x,y,z'
'-x,-y,-z'
loop_
_atom_site_label
_atom_site_fract_x
_atom_site_fract_y
_atom_site_fract_z
Dy1 0.000 0.000 0.000
Dy2 0.000 0.132 0.732
Er1 0.499 0.293 0.416
Al1 0.500 0.434 0.134
```

- theoretical density (kg/m³) = 7873
- N(E_F) (states/eV per atom) = 1.152
- calculated formation energy (meV per atom) = -54.5
- uncorrected energy (eV/atom) = -4.400
- energy above the lowest structure with this stoichiometry (meV/atom) = 147

---

# Li2TaTe

A geometry-optimized Li2TaTe structure (PBE-GGA, Alexandria via LeMat-Bulk).

Structure (CIF):
```
data_Li2TaTe
_space_group_name_H-M_alt 'C m m 2'
_space_group_IT_number 35
_cell_length_a 3.611
_cell_length_b 5.109
_cell_length_c 9.284
_cell_angle_alpha 90.00
_cell_angle_beta 90.00
_cell_angle_gamma 90.00
loop_
_space_group_symop_operation_xyz
'x,y,z'
'-x,-y,z'
'-x,y,z'
'x,-y,z'
'x+1/2,y+1/2,z'
'-x+1/2,-y+1/2,z'
'-x+1/2,y+1/2,z'
'x+1/2,-y+1/2,z'
loop_
_atom_site_label
_atom_site_fract_x
_atom_site_fract_y
_atom_site_fract_z
Li1 0.000 0.000 0.000
Li2 0.000 0.500 0.264
Ta1 0.000 0.000 0.510
Te1 0.000 0.500 0.737
```

- theoretical density (kg/m³) = 6253
- N(E_F) (states/eV per atom) = 0.645
- uncorrected energy (eV/atom) = -4.462
- formation energy (no corrections) (eV/atom) = 0.243

---

# Re2Sn2Te

A geometry-optimized Re2Sn2Te structure (PBE-GGA, Alexandria via LeMat-Bulk).

Structure (CIF):
```
data_Re2Sn2Te
_space_group_name_H-M_alt 'I 4/m m m'
_space_group_IT_number 139
_space_group_name_Hall '-I 4 2'
_cell_length_a 4.353
_cell_length_b 4.353
_cell_length_c 11.731
_cell_angle_alpha 90.00
_cell_angle_beta 90.00
_cell_angle_gamma 90.00
loop_
_atom_site_label
_atom_site_fract_x
_atom_site_fract_y
_atom_site_fract_z
Re1 0.000 0.000 0.104
Sn1 0.000 0.500 0.250
Te1 0.000 0.000 0.500
```

- theoretical density (kg/m³) = 11017
- N(E_F) (states/eV per atom) = 1.098
- uncorrected energy (eV/atom) = -6.368
- formation energy (no corrections) (eV/atom) = 0.841
- energy above the lowest structure with this stoichiometry (meV/atom) = 248

---

# ReCl4O

A geometry-optimized ReCl4O structure (PBE-GGA, Alexandria via LeMat-Bulk).

Structure (CIF):
```
data_ReCl4O
_space_group_name_H-M_alt 'P 1 21/c 1'
_space_group_IT_number 14
_cell_length_a 13.936
_cell_length_b 6.221
_cell_length_c 20.139
_cell_angle_alpha 90.00
_cell_angle_beta 117.19
_cell_angle_gamma 90.00
loop_
_space_group_symop_operation_xyz
'x,y,z'
'-x,-y,-z'
'-x,y+1/2,-z+1/2'
'x,-y+1/2,z+1/2'
loop_
_atom_site_label
_atom_site_fract_x
_atom_site_fract_y
_atom_site_fract_z
Re1 0.099 0.011 0.168
Re2 0.399 0.116 0.581
Cl1 0.032 0.228 0.578
Cl2 0.072 0.123 0.885
Cl3 0.114 0.630 0.777
Cl4 0.216 0.231 0.741
Cl5 0.288 0.647 0.006
Cl6 0.394 0.245 0.974
Cl7 0.432 0.743 0.359
Cl8 0.460 0.641 0.172
O1 0.171 0.655 0.641
O2 0.319 0.221 0.102
```

- theoretical density (kg/m³) = 2943
- uncorrected energy (eV/atom) = -4.968
- formation energy (no corrections) (eV/atom) = -0.836